(1)
VASP calculation (GGA-PBE) on a relaxed structure of Pa2SiNi6.

a b c (Å): 5.1723 5.1723 5.5724
angles (deg): 90.00 90.00 120.00
With the nearest neighbours (Å) after each atom.
Positions (direct):
Pa: 0.3333 0.6667 0.3102  6 Ni 2.69
Pa: 0.6667 0.3333 0.6898  6 Ni 2.69
Si: 0.0000 0.0000 0.5000  6 Ni 2.36
Ni: 0.1720 0.3440 0.8204  1 Si 2.36, 4 Ni 2.50-2.53
Ni: 0.1720 0.8280 0.8204  1 Si 2.36, 4 Ni 2.50-2.53
Ni: 0.3440 0.1720 0.1796  1 Si 2.36, 4 Ni 2.50-2.53
Ni: 0.6560 0.8280 0.8204  1 Si 2.36, 4 Ni 2.50-2.53
Ni: 0.8280 0.1720 0.1796  1 Si 2.36, 4 Ni 2.50-2.53
Ni: 0.8280 0.6560 0.1796  1 Si 2.36, 4 Ni 2.50-2.53

The total energy comes out at -62.61 eV per cell.

---

(2)
VASP calculation (GGA-PBE) on a relaxed structure of PaSiNi.

a b c (Å): 4.3165 4.3165 4.3165
angles (deg): 60.00 60.00 60.00
With the nearest neighbours (Å) after each atom.
Positions (direct):
Pa: 0.0000 0.0000 0.0000  4 Ni 2.64
Si: 0.5000 0.5000 0.5000  4 Ni 2.64
Ni: 0.2500 0.2500 0.2500  4 Si 2.64, 4 Pa 2.64

The total energy comes out at -21.46 eV per cell.

---

(3)
VASP calculation (GGA-PBE) on a relaxed structure of PaNiSn.

a b c (Å): 4.7951 4.7951 4.7951
angles (deg): 60.00 60.00 60.00
With the nearest neighbours (Å) after each atom.
Positions (direct):
Pa: 0.0000 0.0000 0.0000  4 Ni 2.94, 4 Sn 2.94
Ni: 0.7500 0.7500 0.7500  4 Pa 2.94
Sn: 0.2500 0.2500 0.2500  4 Pa 2.94

The total energy comes out at -17.61 eV per cell.

---

(4)
VASP calculation (GGA-PBE) on a relaxed structure of SrPaNi.

a b c (Å): 4.8544 4.8544 4.8544
angles (deg): 60.00 60.00 60.00
With the nearest neighbours (Å) after each atom.
Positions (direct):
Sr: 0.0000 0.0000 0.0000  4 Ni 2.97
Pa: 0.5000 0.5000 0.5000  4 Ni 2.97
Ni: 0.2500 0.2500 0.2500  4 Pa 2.97, 4 Sr 2.97

The calculation puts the distance to the lowest polymorph of the same formula at 0 meV per atom.

---

(5)
VASP calculation (GGA-PBE) on a relaxed structure of PaTaNi.

a b c (Å): 4.4187 4.4187 4.4187
angles (deg): 60.00 60.00 60.00
With the nearest neighbours (Å) after each atom.
Positions (direct):
Pa: 0.0000 0.0000 0.0000  4 Ni 2.71
Ta: 0.5000 0.5000 0.5000  4 Ni 2.71
Ni: 0.7500 0.7500 0.7500  4 Ta 2.71, 4 Pa 2.71

The calculation puts the distance to the lowest polymorph of the same formula at 0 meV per atom.

---

(6)
VASP calculation (GGA-PBE) on a relaxed structure of PaTaNi.

a b c (Å): 4.4290 4.4290 4.4290
angles (deg): 60.00 60.00 60.00
With the nearest neighbours (Å) after each atom.
Positions (direct):
Pa: 0.0000 0.0000 0.0000  4 Ta 2.71, 4 Ni 2.71
Ta: 0.2500 0.2500 0.2500  4 Pa 2.71
Ni: 0.7500 0.7500 0.7500  4 Pa 2.71

The calculation puts the distance to the lowest polymorph of the same formula at 606 meV per atom.

---

Quick rundown of V, same order as above: 129, 57, 78, 81, 61, 61 Å³/cell